A plane-wave DFT calculation with PBE was carried out for an optimized crystal structure of Nd8Ir3Pt2.

a b c (Å): 8.719 4.969 8.742
angles (deg): 90.00 109.44 90.00
Space group P2/m (No. 10)
Asymmetric unit:
Nd 0.121 0.000 0.379 [2 per cell]
Nd 0.131 0.500 0.875 [2 per cell]
Nd 0.375 0.500 0.631 [2 per cell]
Nd 0.378 0.000 0.122 [2 per cell]
Ir 0.246 0.000 0.746 [2 per cell]
Ir 0.500 0.500 0.000 [1 per cell]
Pt 0.246 0.500 0.255 [2 per cell]

Calculated values
DFT formation energy, eV/f.u.: -8.53
Total energy, eV per cell: -85.34
Calculated volume, Å³ per cell: 357.14

A plane-wave DFT calculation with PBE was carried out for an optimized crystal structure of Nd6IrPt2.

a b c (Å): 6.867 7.478 12.134
angles (deg): 90.00 120.09 90.00
Space group P2_1/c (No. 14)
Asymmetric unit:
Nd 0.090 0.048 0.252 [4 per cell]
Nd 0.254 0.677 0.078 [4 per cell]
Nd 0.398 0.184 0.069 [4 per cell]
Ir 0.000 0.000 0.000 [2 per cell]
Pt 0.326 0.114 0.771 [4 per cell]

Calculated values
DFT formation energy, eV/f.u.: -6.23
Total energy, eV per cell: -111.56
Calculated volume, Å³ per cell: 539.12

A plane-wave DFT calculation with PBE was carried out for an optimized crystal structure of Nd8Ir5Pt.

a b c (Å): 8.910 8.910 8.882
angles (deg): 90.00 90.00 90.00
Space group I-4 (No. 82)
Asymmetric unit:
Nd 0.062 0.311 0.435 [8 per cell]
Nd 0.064 0.184 0.813 [8 per cell]
Ir 0.000 0.000 0.500 [2 per cell]
Ir 0.127 0.249 0.124 [8 per cell]
Pt 0.000 0.500 0.750 [2 per cell]

Calculated values
DFT formation energy, eV/f.u.: -9.47
Total energy, eV per cell: -195.91
Calculated volume, Å³ per cell: 705.14

A plane-wave DFT calculation with PBE was carried out for an optimized crystal structure of Nd2Sb4Ir3Pt.

a b c (Å): 4.616 4.616 10.404
angles (deg): 90.00 90.00 90.00
Space group P-4m2 (No. 115)
Asymmetric unit:
Nd 0.000 0.500 0.243 [2 per cell]
Sb 0.000 0.000 0.500 [1 per cell]
Sb 0.000 0.500 0.868 [2 per cell]
Sb 0.500 0.500 0.500 [1 per cell]
Ir 0.000 0.000 0.000 [1 per cell]
Ir 0.000 0.500 0.621 [2 per cell]
Pt 0.500 0.500 0.000 [1 per cell]

Calculated values
E_form (uncorrected), eV/atom: -0.6469
Total energy, eV per cell: -65.12
Calculated volume, Å³ per cell: 221.67

A plane-wave DFT calculation with PBE was carried out for an optimized crystal structure of Nd2Si3IrPt4.

a b c (Å): 4.225 4.225 10.325
angles (deg): 90.00 90.00 90.00
Space group P-4m2 (No. 115)
Asymmetric unit:
Nd 0.000 0.500 0.245 [2 per cell]
Si 0.000 0.000 0.000 [1 per cell]
Si 0.000 0.500 0.626 [2 per cell]
Ir 0.500 0.500 0.000 [1 per cell]
Pt 0.000 0.000 0.500 [1 per cell]
Pt 0.000 0.500 0.853 [2 per cell]
Pt 0.500 0.500 0.500 [1 per cell]

Calculated values
E_form (uncorrected), eV/atom: -0.8967
Total energy, eV per cell: -67.80
Calculated volume, Å³ per cell: 184.34

A plane-wave DFT calculation with PBE was carried out for an optimized crystal structure of Nd2Si3IrPt12.

a b c (Å): 8.1826 8.1826 18.6483
angles (deg): 90.00 90.00 120.00
Space group R-3m (No. 166, hexagonal axes)
Asymmetric unit:
Nd 0.0000 0.0000 0.1134 [6 per cell]
Si 0.0000 0.5000 0.0000 [9 per cell]
Ir 0.0000 0.0000 0.5000 [3 per cell]
Pt 0.0056 0.5028 0.8750 [18 per cell]
Pt 0.0279 0.5140 0.3691 [18 per cell]

Calculated values
E_form (uncorrected), eV/atom: -0.3769
Total energy, eV per cell: -341.82
Calculated volume, Å³ per cell: 1081.32

Copy entry 6 word for word.
A plane-wave DFT calculation with PBE was carried out for an optimized crystal structure of Nd2Si3IrPt12.

a b c (Å): 8.1826 8.1826 18.6483
angles (deg): 90.00 90.00 120.00
Space group R-3m (No. 166, hexagonal axes)
Asymmetric unit:
Nd 0.0000 0.0000 0.1134 [6 per cell]
Si 0.0000 0.5000 0.0000 [9 per cell]
Ir 0.0000 0.0000 0.5000 [3 per cell]
Pt 0.0056 0.5028 0.8750 [18 per cell]
Pt 0.0279 0.5140 0.3691 [18 per cell]

Calculated values
E_form (uncorrected), eV/atom: -0.3769
Total energy, eV per cell: -341.82
Calculated volume, Å³ per cell: 1081.32

> Look up the total energy of the second one.

-111.56 eV per cell

> Which of these has the highest calculated volume?

Nd2Si3IrPt12